*a*
Computed, not measured: a relaxed structure of V2PdPt2 at the PBE-GGA level of DFT.

Cell lengths 4.306, 4.306, 10.318 Å; angles 90.00, 90.00, 120.00 degrees
Fractional coordinates of all 10 atoms:
V  0.333  0.667  0.122
V  0.333  0.667  0.378
V  0.667  0.333  0.622
V  0.667  0.333  0.878
Pd  0.000  0.000  0.250
Pd  0.000  0.000  0.750
Pt  0.000  0.000  0.000
Pt  0.000  0.000  0.500
Pt  0.333  0.667  0.750
Pt  0.667  0.333  0.250

## Properties
total moment = 5.57 μB per cell

=====

*b*
Computed, not measured: a relaxed structure of V2PdPt2 at the PBE-GGA level of DFT.

Cell lengths 7.461, 7.461, 2.743 Å; angles 90.00, 90.00, 90.00 degrees
Fractional coordinates of all 10 atoms:
V  0.117  0.383  0.000
V  0.383  0.883  0.000
V  0.617  0.117  0.000
V  0.883  0.617  0.000
Pd  0.000  0.000  0.000
Pd  0.500  0.500  0.000
Pt  0.174  0.674  0.500
Pt  0.326  0.174  0.500
Pt  0.674  0.826  0.500
Pt  0.826  0.326  0.500

## Properties
total moment = 0.00 μB per cell

=====

*c*
Computed, not measured: a relaxed structure of V2PdPt2 at the PBE-GGA level of DFT.

Cell lengths 7.477, 7.477, 2.727 Å; angles 90.00, 90.00, 90.00 degrees
Fractional coordinates of all 10 atoms:
V  0.166  0.334  0.000
V  0.334  0.834  0.000
V  0.666  0.166  0.000
V  0.834  0.666  0.000
Pd  0.000  0.000  0.500
Pd  0.500  0.500  0.500
Pt  0.131  0.631  0.500
Pt  0.369  0.131  0.500
Pt  0.631  0.869  0.500
Pt  0.869  0.369  0.500

## Properties
total moment = 0.00 μB per cell

=====

Which is most stable, and by how much? *c*, by 0.088 eV/atom.

=====

*a*
Computed, not measured: a relaxed structure of V2PdPt5 at the PBE-GGA level of DFT.

Cell lengths 5.542, 11.082, 3.914 Å; angles 90.00, 90.00, 90.00 degrees
Fractional coordinates of all 16 atoms:
V  0.247  0.126  0.000
V  0.253  0.626  0.000
V  0.747  0.374  0.000
V  0.753  0.874  0.000
Pd  0.000  0.500  0.500
Pd  0.500  0.000  0.500
Pt  0.000  0.000  0.500
Pt  0.001  0.250  0.500
Pt  0.250  0.375  0.000
Pt  0.250  0.875  0.000
Pt  0.499  0.750  0.500
Pt  0.500  0.500  0.500
Pt  0.501  0.250  0.500
Pt  0.750  0.125  0.000
Pt  0.750  0.625  0.000
Pt  0.999  0.750  0.500

## Properties
total moment = 5.12 μB per cell

=====

*b*
Computed, not measured: a relaxed structure of V2PdPt5 at the PBE-GGA level of DFT.

Cell lengths 6.854, 6.854, 6.854 Å; angles 156.75, 103.83, 80.92 degrees
Fractional coordinates of all 8 atoms:
V  0.242  0.242  0.000
V  0.758  0.758  0.000
Pd  0.000  0.500  0.500
Pt  0.135  0.867  0.268
Pt  0.402  0.133  0.268
Pt  0.500  0.500  0.000
Pt  0.598  0.867  0.732
Pt  0.865  0.133  0.732

## Properties
total moment = 0.00 μB per cell

=====

Which is most stable, and by how much? *a*, by 0.144 eV/atom.

=====

*a*
Computed, not measured: a relaxed structure of VPd2Pt5 at the PBE-GGA level of DFT.

Cell lengths 7.299, 7.299, 7.299 Å; angles 124.60, 124.60, 82.20 degrees
Fractional coordinates of all 16 atoms:
V  0.250  0.250  0.000
V  0.750  0.750  0.000
Pd  0.144  0.644  0.788
Pd  0.356  0.144  0.500
Pd  0.644  0.856  0.500
Pd  0.856  0.356  0.212
Pt  0.000  0.000  0.000
Pt  0.016  0.820  0.500
Pt  0.180  0.680  0.197
Pt  0.320  0.516  0.500
Pt  0.484  0.984  0.803
Pt  0.500  0.500  0.000
Pt  0.516  0.016  0.197
Pt  0.680  0.484  0.500
Pt  0.820  0.320  0.803
Pt  0.984  0.180  0.500

## Properties
total moment = 1.51 μB per cell

=====

*b*
Computed, not measured: a relaxed structure of VPd2Pt5 at the PBE-GGA level of DFT.

Cell lengths 5.590, 11.176, 3.898 Å; angles 90.00, 90.00, 90.00 degrees
Fractional coordinates of all 16 atoms:
V  0.000  0.000  0.000
V  0.500  0.500  0.000
Pd  0.248  0.124  0.500
Pd  0.252  0.624  0.500
Pd  0.748  0.376  0.500
Pd  0.752  0.876  0.500
Pt  0.000  0.500  0.000
Pt  0.003  0.758  0.000
Pt  0.245  0.881  0.500
Pt  0.255  0.381  0.500
Pt  0.497  0.258  0.000
Pt  0.500  0.000  0.000
Pt  0.503  0.742  0.000
Pt  0.745  0.619  0.500
Pt  0.755  0.119  0.500
Pt  0.997  0.242  0.000

## Properties
total moment = 0.47 μB per cell

=====

Which is most stable, and by how much? *b*, by 0.211 eV/atom.

=====

*a*
Computed, not measured: a relaxed structure of VPdPt at the PBE-GGA level of DFT.

Cell lengths 3.781, 3.781, 6.497 Å; angles 96.65, 96.65, 89.22 degrees
Fractional coordinates of all 6 atoms:
V  0.197  0.197  0.204
V  0.803  0.803  0.796
Pd  0.252  0.748  0.500
Pd  0.748  0.252  0.500
Pt  0.291  0.291  0.845
Pt  0.709  0.709  0.155

## Properties
total moment = 0.00 μB per cell

=====

*b*
Computed, not measured: a relaxed structure of VPdPt at the PBE-GGA level of DFT.

Cell lengths 4.720, 4.720, 8.269 Å; angles 116.71, 116.71, 33.90 degrees
Fractional coordinates of all 6 atoms:
V  0.164  0.164  0.353
V  0.836  0.836  0.647
Pd  0.198  0.198  0.823
Pd  0.802  0.802  0.177
Pt  0.000  0.000  0.000
Pt  0.500  0.500  0.500

## Properties
total moment = 0.00 μB per cell

=====

Which is most stable, and by how much? *a*, by 0.036 eV/atom.

=====

*a*
Computed, not measured: a relaxed structure of VPdPt at the PBE-GGA level of DFT.

Cell lengths 4.359, 4.359, 2.715 Å; angles 90.00, 90.00, 120.00 degrees
Fractional coordinates of all 3 atoms:
V  0.000  0.000  0.000
Pd  0.333  0.667  0.391
Pt  0.667  0.333  0.846

## Properties
total moment = 0.00 μB per cell

=====

*b*
Computed, not measured: a relaxed structure of VPdPt at the PBE-GGA level of DFT.

Cell lengths 7.405, 7.405, 4.404 Å; angles 90.00, 90.00, 158.65 degrees
Fractional coordinates of all 6 atoms:
V  0.054  0.946  0.750
V  0.946  0.054  0.250
Pd  0.283  0.717  0.250
Pd  0.717  0.283  0.750
Pt  0.397  0.603  0.750
Pt  0.603  0.397  0.250

## Properties
total moment = 0.00 μB per cell

=====

Which is most stable, and by how much? *b*, by 0.115 eV/atom.

=====

*a*
Computed, not measured: a relaxed structure of VPd3Pt4 at the PBE-GGA level of DFT.

Cell lengths 9.793, 9.793, 9.793 Å; angles 163.59, 152.13, 32.52 degrees
Fractional coordinates of all 8 atoms:
V  0.000  0.000  0.000
Pd  0.247  0.247  0.000
Pd  0.500  0.500  0.000
Pd  0.753  0.753  0.000
Pt  0.117  0.617  0.500
Pt  0.374  0.874  0.500
Pt  0.626  0.126  0.500
Pt  0.883  0.383  0.500

## Properties
total moment = 1.31 μB per cell

=====

*b*
Computed, not measured: a relaxed structure of VPd3Pt4 at the PBE-GGA level of DFT.

Cell lengths 8.320, 8.320, 8.320 Å; angles 152.64, 152.64, 39.08 degrees
Fractional coordinates of all 8 atoms:
V  0.000  0.000  0.000
Pd  0.252  0.252  0.000
Pd  0.500  0.500  0.000
Pd  0.748  0.748  0.000
Pt  0.119  0.619  0.500
Pt  0.381  0.881  0.500
Pt  0.619  0.119  0.500
Pt  0.881  0.381  0.500

## Properties
total moment = 0.00 μB per cell

=====

Which is most stable, and by how much? *b*, by 0.156 eV/atom.

=====

*a*
Computed, not measured: a relaxed structure of VPd2Pt3 at the PBE-GGA level of DFT.

Cell lengths 5.578, 3.883, 8.327 Å; angles 90.00, 90.08, 90.00 degrees
Fractional coordinates of all 12 atoms:
V  0.128  0.250  0.255
V  0.872  0.750  0.745
Pd  0.122  0.250  0.919
Pd  0.372  0.750  0.412
Pd  0.628  0.250  0.588
Pd  0.878  0.750  0.081
Pt  0.116  0.250  0.587
Pt  0.366  0.750  0.093
Pt  0.368  0.750  0.752
Pt  0.632  0.250  0.248
Pt  0.634  0.250  0.907
Pt  0.884  0.750  0.413

## Properties
total moment = 0.00 μB per cell

=====

*b*
Computed, not measured: a relaxed structure of VPd2Pt3 at the PBE-GGA level of DFT.

Cell lengths 7.305, 7.305, 5.049 Å; angles 90.00, 90.00, 136.27 degrees
Fractional coordinates of all 12 atoms:
V  0.153  0.847  0.750
V  0.847  0.153  0.250
Pd  0.245  0.245  0.000
Pd  0.245  0.245  0.500
Pd  0.755  0.755  0.000
Pd  0.755  0.755  0.500
Pt  0.068  0.428  0.750
Pt  0.350  0.650  0.250
Pt  0.428  0.068  0.250
Pt  0.572  0.932  0.750
Pt  0.650  0.350  0.750
Pt  0.932  0.572  0.250

## Properties
total moment = 0.71 μB per cell

=====

Which is most stable, and by how much? *a*, by 0.185 eV/atom.

=====

*a*
Computed, not measured: a relaxed structure of VPd4Pt2 at the PBE-GGA level of DFT.

Cell lengths 7.108, 7.108, 7.108 Å; angles 142.10, 142.10, 54.68 degrees
Fractional coordinates of all 7 atoms:
V  0.000  0.000  0.000
Pd  0.000  0.500  0.500
Pd  0.181  0.181  0.000
Pd  0.500  0.000  0.500
Pd  0.819  0.819  0.000
Pt  0.388  0.388  0.000
Pt  0.612  0.612  0.000

## Properties
total moment = 0.00 μB per cell

=====

*b*
Computed, not measured: a relaxed structure of VPd4Pt2 at the PBE-GGA level of DFT.

Cell lengths 9.161, 5.088, 9.444 Å; angles 71.09, 31.70, 77.22 degrees
Fractional coordinates of all 14 atoms:
V  0.000  0.000  0.000
V  0.250  0.250  0.250
Pd  0.081  0.941  0.664
Pd  0.274  0.406  0.567
Pd  0.406  0.274  0.753
Pd  0.497  0.683  0.844
Pd  0.586  0.936  0.169
Pd  0.683  0.497  0.976
Pd  0.936  0.586  0.309
Pd  0.941  0.081  0.314
Pt  0.123  0.692  0.406
Pt  0.472  0.844  0.558
Pt  0.692  0.123  0.778
Pt  0.844  0.472  0.127

## Properties
total moment = 0.18 μB per cell

=====

Which is most stable, and by how much? *b*, by 0.702 eV/atom.

=====

*a*
Computed, not measured: a relaxed structure of VPdPt4 at the PBE-GGA level of DFT.

Cell lengths 4.687, 4.687, 8.546 Å; angles 117.68, 117.68, 34.75 degrees
Fractional coordinates of all 6 atoms:
V  0.000  0.000  0.000
Pd  0.500  0.500  0.500
Pt  0.147  0.147  0.334
Pt  0.211  0.211  0.847
Pt  0.789  0.789  0.153
Pt  0.853  0.853  0.666

## Properties
total moment = 0.00 μB per cell

=====

*b*
Computed, not measured: a relaxed structure of VPdPt4 at the PBE-GGA level of DFT.

Cell lengths 5.573, 5.573, 6.959 Å; angles 101.35, 101.35, 59.79 degrees
Fractional coordinates of all 12 atoms:
V  0.135  0.135  0.331
V  0.865  0.865  0.669
Pd  0.355  0.355  0.658
Pd  0.645  0.645  0.342
Pt  0.137  0.645  0.338
Pt  0.247  0.753  0.000
Pt  0.248  0.248  0.014
Pt  0.355  0.863  0.662
Pt  0.645  0.137  0.338
Pt  0.752  0.752  0.986
Pt  0.753  0.247  0.000
Pt  0.863  0.355  0.662

## Properties
total moment = 0.00 μB per cell

=====

Which is most stable, and by how much? *b*, by 0.069 eV/atom.

=====

*a*
Computed, not measured: a relaxed structure of PdPt3W at the PBE-GGA level of DFT.

Cell lengths 4.805, 4.805, 4.805 Å; angles 90.00, 90.00, 90.00 degrees
Fractional coordinates of all 5 atoms:
Pd  0.000  0.000  0.000
Pt  0.000  0.500  0.500
Pt  0.500  0.000  0.500
Pt  0.500  0.500  0.000
W  0.500  0.500  0.500

## Properties
total moment = 0.00 μB per cell

=====

*b*
Computed, not measured: a relaxed structure of PdPt3W at the PBE-GGA level of DFT.

Cell lengths 4.716, 4.716, 4.716 Å; angles 90.00, 90.00, 90.00 degrees
Fractional coordinates of all 5 atoms:
Pd  0.000  0.000  0.000
Pt  0.000  0.000  0.500
Pt  0.000  0.500  0.000
Pt  0.500  0.000  0.000
W  0.500  0.500  0.500

## Properties
total moment = 0.00 μB per cell

=====

*c*
Computed, not measured: a relaxed structure of PdPt3W at the PBE-GGA level of DFT.

Cell lengths 6.555, 6.555, 4.714 Å; angles 90.00, 90.00, 120.00 degrees
Fractional coordinates of all 10 atoms:
Pd  0.000  0.000  0.000
Pd  0.000  0.000  0.500
Pt  0.203  0.406  0.250
Pt  0.203  0.797  0.250
Pt  0.406  0.203  0.750
Pt  0.594  0.797  0.250
Pt  0.797  0.203  0.750
Pt  0.797  0.594  0.750
W  0.333  0.667  0.750
W  0.667  0.333  0.250

## Properties
total moment = 0.00 μB per cell

=====

Which is most stable, and by how much? *c*, by 0.647 eV/atom.